# 1
Material: TbPrMgCd
Method: DFT, PBE
State: optimized geometry

Lattice parameters (Å, degrees): 5.423 5.423 5.423 60.00 60.00 60.00
Element x y z (fractional)
Mg (0.250, 0.250, 0.250)
Tb (0.500, 0.500, 0.500)
Pr (0.000, 0.000, 0.000)
Cd (0.750, 0.750, 0.750)

As for the distance to the lowest polymorph of the same formula: 3 meV/atom. Its total moment is 0.0 Bohr magnetons per cell. As for the formation enthalpy at 0 K: -0.204 eV per atom.

=====

# 2
Material: Pm2TiIn
Method: DFT, PBE
State: optimized geometry

Lattice parameters (Å, degrees): 4.603 4.812 4.812 90.00 90.00 90.00
Element x y z (fractional)
Pm (0.000, 0.500, 0.000)
Pm (0.000, 0.000, 0.500)
Ti (0.500, 0.000, 0.000)
In (0.500, 0.500, 0.500)

As for the distance to the lowest polymorph of the same formula: 0 meV/atom. Its total moment is 1.6 Bohr magnetons per cell. As for the formation enthalpy at 0 K: -0.072 eV per atom.

=====

# 3
Material: KAg3Bi
Method: DFT, PBE
State: optimized geometry

Lattice parameters (Å, degrees): 5.392 5.392 5.392 90.00 90.00 90.00
Element x y z (fractional)
Ag (0.000, 0.000, 0.500)
Ag (0.000, 0.500, 0.000)
Ag (0.500, 0.000, 0.000)
Bi (0.500, 0.500, 0.500)
K (0.000, 0.000, 0.000)

As for the distance to the lowest polymorph of the same formula: 841 meV/atom. Its total moment is 0.0 Bohr magnetons per cell. As for the formation enthalpy at 0 K: 1.034 eV per atom.

=====

# 4
Material: BaHf
Method: DFT, PBE
State: optimized geometry

Lattice parameters (Å, degrees): 6.486 17.619 10.336 90.00 90.00 90.00
Element x y z (fractional)
Ba (0.500, 0.000, 0.833)
Ba (0.000, 0.000, 0.667)
Ba (0.250, 0.250, 0.083)
Ba (0.500, 0.000, 0.167)
Ba (0.000, 0.000, 0.333)
Ba (0.750, 0.750, 0.417)
Ba (0.750, 0.250, 0.917)
Ba (0.750, 0.250, 0.583)
Ba (0.250, 0.750, 0.917)
Ba (0.000, 0.500, 0.167)
Ba (0.250, 0.750, 0.583)
Ba (0.500, 0.500, 0.333)
Ba (0.000, 0.500, 0.833)
Ba (0.500, 0.500, 0.667)
Ba (0.750, 0.750, 0.083)
Ba (0.250, 0.250, 0.417)
Hf (0.000, 0.077, 0.000)
Hf (0.750, 0.173, 0.250)
Hf (0.000, 0.577, 0.500)
Hf (0.750, 0.827, 0.750)
Hf (0.500, 0.923, 0.500)
Hf (0.250, 0.673, 0.250)
Hf (0.500, 0.577, 0.000)
Hf (0.500, 0.077, 0.500)
Hf (0.750, 0.327, 0.250)
Hf (0.250, 0.173, 0.750)
Hf (0.750, 0.673, 0.750)
Hf (0.250, 0.827, 0.250)
Hf (0.250, 0.327, 0.750)
Hf (0.500, 0.423, 0.000)
Hf (0.000, 0.923, 0.000)
Hf (0.000, 0.423, 0.500)

As for the distance to the lowest polymorph of the same formula: 349 meV/atom. Its total moment is 0.3 Bohr magnetons per cell. As for the formation enthalpy at 0 K: 0.908 eV per atom.

=====

# 5
Material: BaTl2Cd
Method: DFT, PBE
State: optimized geometry

Lattice parameters (Å, degrees): 4.092 4.096 7.890 90.00 90.00 90.00
Element x y z (fractional)
Tl (0.000, 0.000, 0.991)
Tl (0.500, 0.500, 0.213)
Ba (0.000, 0.000, 0.504)
Cd (0.500, 0.500, 0.792)

Its total moment is 0.0 Bohr magnetons per cell. As for the formation enthalpy at 0 K: -0.205 eV per atom.

=====

# 6
Material: Sc3GaRu
Method: DFT, PBE
State: optimized geometry

Lattice parameters (Å, degrees): 4.951 4.951 4.951 90.00 90.00 90.00
Element x y z (fractional)
Sc (0.000, 0.500, 0.000)
Sc (0.500, 0.000, 0.000)
Sc (0.000, 0.000, 0.500)
Ga (0.500, 0.500, 0.500)
Ru (0.000, 0.000, 0.000)

As for the distance to the lowest polymorph of the same formula: 363 meV/atom. Its total moment is 0.0 Bohr magnetons per cell. As for the formation enthalpy at 0 K: -0.076 eV per atom.

=====

# 7
Material: Cs12Ba3I5
Method: DFT, PBE
State: optimized geometry

Lattice parameters (Å, degrees): 21.590 21.590 21.590 109.47 109.47 109.47
Element x y z (fractional)
I (0.750, 0.125, 0.875)
I (0.500, 0.500, 0.500)
I (0.000, 0.500, 0.500)
I (0.750, 0.625, 0.375)
I (0.500, 0.500, 0.000)
I (0.625, 0.750, 0.875)
I (0.250, 0.875, 0.125)
I (0.500, 0.000, 0.500)
I (0.500, 0.000, 0.000)
I (0.875, 0.625, 0.750)
I (0.375, 0.250, 0.125)
I (0.625, 0.875, 0.250)
I (0.250, 0.375, 0.625)
I (0.125, 0.750, 0.375)
I (0.000, 0.000, 0.500)
I (0.000, 0.000, 0.000)
I (0.000, 0.500, 0.000)
I (0.875, 0.250, 0.625)
I (0.125, 0.375, 0.250)
I (0.375, 0.125, 0.750)
Ba (0.375, 0.750, 0.625)
Ba (0.875, 0.750, 0.125)
Ba (0.750, 0.375, 0.125)
Ba (0.750, 0.875, 0.625)
Ba (0.375, 0.625, 0.250)
Ba (0.625, 0.375, 0.750)
Ba (0.125, 0.875, 0.750)
Ba (0.250, 0.625, 0.875)
Ba (0.875, 0.125, 0.250)
Ba (0.250, 0.125, 0.375)
Ba (0.125, 0.250, 0.875)
Ba (0.625, 0.250, 0.375)
Cs (0.179, 0.089, 0.982)
Cs (0.321, 0.518, 0.411)
Cs (0.107, 0.410, 0.089)
Cs (0.410, 0.302, 0.321)
Cs (0.802, 0.482, 0.393)
Cs (0.411, 0.393, 0.590)
Cs (0.982, 0.589, 0.179)
Cs (0.411, 0.018, 0.321)
Cs (0.393, 0.411, 0.090)
Cs (0.821, 0.910, 0.302)
Cs (0.893, 0.302, 0.482)
Cs (0.698, 0.107, 0.018)
Cs (0.518, 0.321, 0.911)
Cs (0.698, 0.590, 0.179)
Cs (0.018, 0.607, 0.698)
Cs (0.089, 0.910, 0.107)
Cs (0.090, 0.911, 0.393)
Cs (0.302, 0.893, 0.982)
Cs (0.018, 0.411, 0.821)
Cs (0.982, 0.393, 0.302)
Cs (0.590, 0.698, 0.679)
Cs (0.589, 0.607, 0.410)
Cs (0.518, 0.198, 0.107)
Cs (0.821, 0.911, 0.018)
Cs (0.393, 0.982, 0.802)
Cs (0.482, 0.802, 0.893)
Cs (0.607, 0.589, 0.910)
Cs (0.590, 0.893, 0.411)
Cs (0.302, 0.410, 0.821)
Cs (0.911, 0.090, 0.893)
Cs (0.910, 0.089, 0.607)
Cs (0.589, 0.982, 0.679)
Cs (0.179, 0.090, 0.698)
Cs (0.679, 0.482, 0.589)
Cs (0.107, 0.698, 0.518)
Cs (0.410, 0.107, 0.589)
Cs (0.089, 0.179, 0.482)
Cs (0.482, 0.679, 0.089)
Cs (0.198, 0.518, 0.607)
Cs (0.911, 0.821, 0.518)
Cs (0.893, 0.590, 0.911)
Cs (0.321, 0.802, 0.410)
Cs (0.198, 0.679, 0.090)
Cs (0.090, 0.179, 0.198)
Cs (0.679, 0.198, 0.590)
Cs (0.802, 0.321, 0.910)
Cs (0.910, 0.821, 0.802)
Cs (0.607, 0.018, 0.198)

For the uncorrected formation energy, the calculation gives -10.43 eV/f.u. Its total moment is 17.8 Bohr magnetons per cell.

=====

# 8
Material: Cs2SbPdI6
Method: DFT, PBE
State: optimized geometry

Lattice parameters (Å, degrees): 8.402 8.402 14.970 73.70 73.70 60.00
Element x y z (fractional)
Cs (0.121, 0.121, 0.637)
Cs (0.705, 0.705, 0.886)
Cs (0.879, 0.879, 0.363)
Cs (0.295, 0.295, 0.114)
I (0.133, 0.624, 0.620)
I (0.376, 0.867, 0.380)
I (0.282, 0.799, 0.121)
I (0.201, 0.201, 0.879)
I (0.624, 0.133, 0.620)
I (0.718, 0.201, 0.879)
I (0.867, 0.376, 0.380)
I (0.799, 0.282, 0.121)
I (0.376, 0.376, 0.380)
I (0.624, 0.624, 0.620)
I (0.799, 0.799, 0.121)
I (0.201, 0.718, 0.879)
Pd (0.000, 0.000, 0.000)
Pd (0.500, 0.500, 0.500)
Sb (0.587, 0.587, 0.239)
Sb (0.413, 0.413, 0.761)

For the uncorrected formation energy, the calculation gives -7.45 eV/f.u. As for the distance to the lowest polymorph of the same formula: 29 meV/atom. Its total moment is 1.7 Bohr magnetons per cell.

=====

# 9
Material: ReNiBr2
Method: DFT, PBE
State: optimized geometry

Lattice parameters (Å, degrees): 4.060 4.060 8.066 98.28 98.28 47.54
Element x y z (fractional)
Re (0.814, 0.814, 0.576)
Br (0.897, 0.897, 0.896)
Br (0.243, 0.243, 0.340)
Ni (0.546, 0.546, 0.689)

For the uncorrected formation energy, the calculation gives 1.53 eV/f.u. As for the distance to the lowest polymorph of the same formula: 51 meV/atom. Its total moment is 0.0 Bohr magnetons per cell.

=====

# 10
Material: YFeAsSe2
Method: DFT, PBE
State: optimized geometry

Lattice parameters (Å, degrees): 4.961 4.961 4.325 90.00 90.00 90.00
Element x y z (fractional)
Fe (0.000, 0.000, 0.000)
Se (0.000, 0.500, 0.000)
Se (0.500, 0.000, 0.000)
As (0.000, 0.000, 0.500)
Y (0.500, 0.500, 0.500)

For the uncorrected formation energy, the calculation gives -1.93 eV/f.u. As for the distance to the lowest polymorph of the same formula: 0 meV/atom. Its total moment is 0.8 Bohr magnetons per cell.

=====

# 11
Material: TbRhPbAu
Method: DFT, PBE
State: optimized geometry

Lattice parameters (Å, degrees): 4.934 4.934 4.934 60.00 60.00 60.00
Element x y z (fractional)
Pb (0.500, 0.500, 0.500)
Rh (0.750, 0.750, 0.750)
Au (0.250, 0.250, 0.250)
Tb (0.000, 0.000, 0.000)

Its total moment is 0.0 Bohr magnetons per cell. As for the formation enthalpy at 0 K: -0.468 eV per atom.

=====

# 12
Material: BaAcCuSi
Method: DFT, PBE
State: optimized geometry

Lattice parameters (Å, degrees): 4.316 4.316 8.731 90.02 104.29 120.00
Element x y z (fractional)
Ac (0.009, 0.869, 0.878)
Si (0.833, 0.281, 0.114)
Ba (0.352, 0.041, 0.392)
Cu (0.499, 0.614, 0.113)

For the uncorrected formation energy, the calculation gives -1.17 eV/f.u. As for the distance to the lowest polymorph of the same formula: 0 meV/atom. Its total moment is 0.0 Bohr magnetons per cell.

=====

# 13
Material: AlSiBr2
Method: DFT, PBE
State: optimized geometry

Lattice parameters (Å, degrees): 3.547 3.547 8.923 90.00 90.00 119.28
Element x y z (fractional)
Br (0.000, 0.000, 0.491)
Br (0.000, 0.000, 0.009)
Si (0.500, 0.500, 0.250)
Al (0.500, 0.500, 0.750)

For the uncorrected formation energy, the calculation gives 0.91 eV/f.u. As for the distance to the lowest polymorph of the same formula: 562 meV/atom. Its total moment is 0.0 Bohr magnetons per cell.

=====

# 14
Material: Ce2SiPt6
Method: DFT, PBE
State: optimized geometry

Lattice parameters (Å, degrees): 5.687 5.657 6.170 77.93 90.00 120.18
Element x y z (fractional)
Ce (0.642, 0.283, 0.153)
Ce (0.358, 0.717, 0.847)
Si (0.000, 0.000, 0.000)
Pt (0.614, 0.735, 0.306)
Pt (0.386, 0.265, 0.694)
Pt (0.122, 0.735, 0.306)
Pt (0.124, 0.248, 0.295)
Pt (0.878, 0.265, 0.694)
Pt (0.876, 0.752, 0.705)

For the uncorrected formation energy, the calculation gives -9.04 eV/f.u. As for the distance to the lowest polymorph of the same formula: 21 meV/atom. Its total moment is 1.0 Bohr magnetons per cell.

=====

# 15
Material: Tc2PF
Method: DFT, PBE
State: optimized geometry

Lattice parameters (Å, degrees): 5.440 5.440 5.840 62.24 62.24 90.00
Element x y z (fractional)
P (0.000, 0.000, 0.000)
P (0.750, 0.250, 0.500)
F (0.500, 0.500, 0.000)
F (0.250, 0.750, 0.500)
Tc (0.621, 0.125, 0.250)
Tc (0.129, 0.625, 0.250)
Tc (0.875, 0.871, 0.750)
Tc (0.375, 0.379, 0.750)

For the uncorrected formation energy, the calculation gives 0.92 eV/f.u. As for the distance to the lowest polymorph of the same formula: 544 meV/atom. Its total moment is 1.1 Bohr magnetons per cell.

=====

# 16
Material: Ac2Pm2Sn3
Method: DFT, PBE
State: optimized geometry

Lattice parameters (Å, degrees): 4.767 8.440 8.322 107.95 106.64 90.00
Element x y z (fractional)
Ac (0.621, 0.885, 0.242)
Ac (0.379, 0.115, 0.758)
Sn (0.222, 0.727, 0.444)
Sn (0.778, 0.273, 0.556)
Sn (0.000, 0.000, 0.000)
Pm (0.837, 0.668, 0.675)
Pm (0.163, 0.332, 0.325)

Its total moment is 0.0 Bohr magnetons per cell. As for the formation enthalpy at 0 K: -0.438 eV per atom.

=====

# 17
Material: Be2CuBr
Method: DFT, PBE
State: optimized geometry

Lattice parameters (Å, degrees): 4.322 4.322 4.322 60.00 60.00 60.00
Element x y z (fractional)
Be (0.750, 0.750, 0.750)
Be (0.250, 0.250, 0.250)
Br (0.500, 0.500, 0.500)
Cu (0.000, 0.000, 0.000)

For the uncorrected formation energy, the calculation gives 4.41 eV/f.u. As for the distance to the lowest polymorph of the same formula: 984 meV/atom. Its total moment is 0.0 Bohr magnetons per cell.

=====

# 18
Material: Na3Ce2DyS6
Method: DFT, PBE
State: optimized geometry

Lattice parameters (Å, degrees): 7.086 7.086 7.071 99.62 99.62 120.00
Element x y z (fractional)
S (0.249, 0.249, 0.770)
S (0.923, 0.597, 0.769)
S (0.403, 0.077, 0.231)
S (0.597, 0.923, 0.769)
S (0.077, 0.403, 0.231)
S (0.751, 0.751, 0.230)
Ce (0.667, 0.333, 0.000)
Ce (0.333, 0.667, 0.000)
Na (0.834, 0.166, 0.500)
Na (0.166, 0.834, 0.500)
Na (0.500, 0.500, 0.500)
Dy (0.000, 0.000, 0.000)

For the uncorrected formation energy, the calculation gives -21.21 eV/f.u. Its total moment is 2.0 Bohr magnetons per cell.

=====

# 19
Material: CdTcPb2
Method: DFT, PBE
State: optimized geometry

Lattice parameters (Å, degrees): 7.637 5.363 3.329 89.84 64.41 125.31
Element x y z (fractional)
Pb (0.500, 0.000, 0.500)
Pb (0.000, 0.000, 0.000)
Cd (0.500, 0.500, 0.000)
Tc (0.000, 0.500, 0.500)

Its total moment is 2.4 Bohr magnetons per cell. As for the formation enthalpy at 0 K: 0.629 eV per atom.

=====

# 20
Material: La4TbSm2
Method: DFT, PBE
State: optimized geometry

Lattice parameters (Å, degrees): 6.976 9.178 9.178 79.13 67.66 67.66
Element x y z (fractional)
La (0.852, 0.646, 0.651)
La (0.148, 0.849, 0.854)
La (0.225, 0.243, 0.743)
La (0.852, 0.151, 0.146)
La (0.212, 0.757, 0.257)
La (0.788, 0.243, 0.743)
La (0.775, 0.757, 0.257)
La (0.148, 0.354, 0.349)
Tb (0.000, 0.500, 0.000)
Tb (0.500, 0.500, 0.000)
Sm (0.500, 0.000, 0.000)
Sm (0.283, 0.967, 0.467)
Sm (0.717, 0.033, 0.533)
Sm (0.500, 0.500, 0.500)

As for the distance to the lowest polymorph of the same formula: 127 meV/atom. Its total moment is 0.0 Bohr magnetons per cell. As for the formation enthalpy at 0 K: 0.204 eV per atom.

=====

# 21
Material: CuAuS
Method: DFT, PBE
State: optimized geometry

Lattice parameters (Å, degrees): 5.125 6.288 7.678 90.00 90.00 90.00
Element x y z (fractional)
Au (0.584, 0.281, 0.254)
Au (0.084, 0.219, 0.754)
Au (0.084, 0.719, 0.746)
Au (0.584, 0.781, 0.246)
Cu (0.237, 0.995, 0.033)
Cu (0.737, 0.505, 0.533)
Cu (0.237, 0.495, 0.467)
Cu (0.737, 0.005, 0.967)
S (0.465, 0.776, 0.549)
S (0.465, 0.276, 0.951)
S (0.965, 0.224, 0.451)
S (0.965, 0.724, 0.049)

For the uncorrected formation energy, the calculation gives -0.09 eV/f.u. Its total moment is 0.0 Bohr magnetons per cell.